Computed, not measured: a geometry-optimized ZnNiPbO4 structure at the PBE+U level of DFT.

Lattice parameters (Å, degrees): 6.1795 6.2664 6.2664 62.43 60.46 60.46
Fractional coordinates of all 14 atoms:
Zn: 0.6367 0.6133 0.1133
Zn: 0.3633 0.3867 0.8867
Ni: 0.5000 0.0000 0.5000
Ni: 0.0000 0.0000 0.5000
Pb: 0.0000 0.0000 0.0000
Pb: 0.0000 0.5000 0.5000
O: 0.7536 0.7686 0.7241
O: 0.2464 0.7759 0.7314
O: 0.7536 0.2241 0.2686
O: 0.2464 0.2314 0.2759
O: 0.2364 0.7594 0.2594
O: 0.7449 0.7594 0.2594
O: 0.2551 0.2406 0.7406
O: 0.7636 0.2406 0.7406

Computed properties:
calculated total energy: -5.002 eV per atom

***

Computed, not measured: a geometry-optimized ZrNi2PbO6 structure at the PBE+U level of DFT.

Lattice parameters (Å, degrees): 5.3721 5.3722 5.7208 62.00 62.00 60.00
Fractional coordinates of all 10 atoms:
Zr: 0.8087 0.8085 0.5742
Ni: 0.5181 0.5181 0.4458
Ni: 0.0180 0.0181 0.9457
Pb: 0.3087 0.3087 0.0740
O: 0.6330 0.2205 0.2489
O: 0.2206 0.8976 0.2488
O: 0.8976 0.6331 0.2488
O: 0.4111 0.7296 0.7430
O: 0.7296 0.1164 0.7429
O: 0.1162 0.4111 0.7431

Computed properties:
calculated total energy: -6.368 eV per atom

***

Computed, not measured: a geometry-optimized ZrNi2PbO structure at the PBE+U level of DFT.

Lattice parameters (Å, degrees): 4.5598 5.6083 4.5598 90.00 90.00 90.00
Fractional coordinates of all 5 atoms:
Pb: 0.0000 0.0000 0.0000
Ni: 0.0000 0.0000 0.5000
Ni: 0.5000 0.0000 0.0000
O: 0.5000 0.5000 0.5000
Zr: 0.0000 0.5000 0.0000

Computed properties:
calculated total energy: -2.628 eV per atom

***

Computed, not measured: a geometry-optimized NiPdO3 structure at the PBE+U level of DFT.

Lattice parameters (Å, degrees): 3.0351 5.3253 5.3260 56.47 106.55 73.44
Fractional coordinates of all 5 atoms:
Ni: 0.2203 0.3222 0.4851
Pd: 0.2201 0.0139 0.1766
O: 0.7202 0.4656 0.6283
O: 0.7199 0.1609 0.3232
O: 0.7202 0.8680 0.0309

Computed properties:
calculated total energy: -5.069 eV per atom